LaMgCrBiO6 (PBE with a Hubbard U, relaxed); space group = Pc (7); theoretical density = 6.62 g/cm3; electronic total energy = -6.868 eV/atom
1.0
-3.466 1.960 4.312
0.283 -4.913 2.461
6.797 -2.560 6.627
La Mg Cr Bi O
2 2 2 2 12
Direct
0.700 0.233 0.754
0.300 0.233 0.254
0.215 0.709 0.795
0.785 0.709 0.295
0.738 0.999 0.499
0.262 0.999 0.999
0.769 0.486 0.011
0.231 0.486 0.511
0.169 0.666 0.232
0.010 0.899 0.904
0.886 0.293 0.524
0.449 0.762 0.937
0.417 0.074 0.576
0.681 0.378 0.268
0.831 0.666 0.732
0.990 0.899 0.404
0.114 0.293 0.024
0.551 0.762 0.437
0.583 0.074 0.076
0.319 0.378 0.768